Computed, not measured: a PBEsol-optimized structure of Zn2AgPt at the SCAN level of DFT.

It has space group Pmm2 (No. 25), with a = 2.820 Å, b = 4.485 Å, c = 4.567 Å, α = 90.00°, β = 90.00° and γ = 90.00°. The inequivalent atoms are Zn at (0.000, 0.000, 0.000), Zn at (0.000, 0.500, 0.414), Ag at (0.500, 0.500, 0.913) and Pt at (0.500, 0.000, 0.496).

As for the electronic total energy: -32.464 eV per atom. As for the density of states at the Fermi level: 1.0 states/eV/cell. The value obtained for the energy of formation from the pure elements is -0.316 eV per atom.